Entry 1:
# RbPm2Fe2O6

A relaxed RbPm2Fe2O6 crystal (GGA+U, the Alexandria database).

a b c (Å): 6.349 6.621 6.492
angles (deg): 118.15 81.73 68.23
Each line ends with the local moment (μB).
Fractional positions:
Rb 0.500 0.000 0.500  0.00
Pm 0.835 0.358 0.807  0.03
Pm 0.165 0.642 0.193  0.03
Fe 0.257 0.692 0.736  4.01
Fe 0.743 0.308 0.264  4.01
O 0.441 0.688 0.935  0.14
O 0.902 0.478 0.201  0.13
O 0.132 0.895 0.615  0.11
O 0.098 0.522 0.799  0.13
O 0.868 0.105 0.385  0.11
O 0.559 0.312 0.065  0.14

Calculated values
Total energy: -75.4 eV/cell
Total magnetic moment: 9.01 μB/f.u.
Crystal system: triclinic

=====

Entry 2:
# Rb4Pm3FeO8

A relaxed Rb4Pm3FeO8 crystal (GGA+U, the Alexandria database).

a b c (Å): 7.060 7.724 7.061
angles (deg): 117.20 120.00 90.00
Each line ends with the local moment (μB).
Fractional positions:
Rb 0.500 0.000 0.000  0.01
Rb 0.500 0.000 0.500  0.00
Rb 0.000 0.000 0.000  0.00
Rb 0.000 0.000 0.500  0.00
Pm 0.500 0.500 0.000  0.00
Pm 0.500 0.500 0.500  0.00
Pm 0.000 0.500 0.500  0.00
Fe 0.000 0.500 0.000  4.29
O 0.214 0.675 0.961  0.12
O 0.214 0.675 0.428  0.12
O 0.273 0.318 0.546  0.01
O 0.747 0.675 0.961  0.12
O 0.253 0.325 0.039  0.12
O 0.727 0.682 0.454  0.01
O 0.786 0.325 0.572  0.12
O 0.786 0.325 0.039  0.12

Calculated values
Total energy: -98.9 eV/cell
Total magnetic moment: 5.22 μB/f.u.
Crystal system: trigonal
Density of states at the Fermi level: 0.000 states/eV per atom